(1)
A relaxed HgPt2Pb crystal. Source: Alexandria via LeMat-Bulk, functional PBE. Values from VASP.

## Properties
- formation enthalpy at 0 K (eV/f.u.) = 0.29
- SG = P4mm (99)
- total magnetic moment (μB/cell) = 0.00

Cell and atoms, written as Quantum ESPRESSO input:
```
&SYSTEM
  ibrav = 0, nat = 4, ntyp = 3
/
ATOMIC_SPECIES
Hg 200.59 Hg.upf
Pb 207.20 Pb.upf
Pt 195.08 Pt.upf
CELL_PARAMETERS angstrom
-2.918 0.939 -1.226
-1.426 -0.634 2.910
1.386 7.260 2.262
ATOMIC_POSITIONS angstrom
Hg 0.615 3.222 1.004
Pb -1.066 5.947 2.647
Pt 0.037 0.196 0.061
Pt -1.852 1.830 1.364
```

(2)
A relaxed HgPtPb2 crystal. Source: Alexandria via LeMat-Bulk, functional PBE. Values from VASP.

## Properties
- formation enthalpy at 0 K (eV/f.u.) = -0.10
- SG = Pm (6)
- total magnetic moment (μB/cell) = 0.00

Cell and atoms, written as Quantum ESPRESSO input:
```
&SYSTEM
  ibrav = 0, nat = 4, ntyp = 3
/
ATOMIC_SPECIES
Hg 200.59 Hg.upf
Pb 207.20 Pb.upf
Pt 195.08 Pt.upf
CELL_PARAMETERS angstrom
3.864 0.000 0.000
0.000 4.350 -0.003
0.000 2.269 6.052
ATOMIC_POSITIONS angstrom
Hg 1.932 4.164 4.695
Pb 0.000 6.345 5.788
Pb 1.932 1.935 2.072
Pt 0.000 4.105 2.566
```

(3)
A relaxed HgPtPb2 crystal. Source: Alexandria via LeMat-Bulk, functional PBE. Values from VASP.

## Properties
- formation enthalpy at 0 K (eV/f.u.) = -0.46
- SG = R-3m (166)
- total magnetic moment (μB/cell) = 0.00

Cell and atoms, written as Quantum ESPRESSO input:
```
&SYSTEM
  ibrav = 0, nat = 4, ntyp = 3
/
ATOMIC_SPECIES
Pb 207.20 Pb.upf
Hg 200.59 Hg.upf
Pt 195.08 Pt.upf
CELL_PARAMETERS angstrom
8.561 0.000 0.000
7.644 3.855 0.000
7.644 1.818 3.399
ATOMIC_POSITIONS angstrom
Pb 23.450 5.578 3.342
Pb 12.324 2.932 1.756
Hg 17.887 4.255 2.549
Pt 5.962 1.418 0.850
```

(4)
A relaxed HgPt3Pb crystal. Source: Alexandria via LeMat-Bulk, functional PBE. Values from VASP.

## Properties
- relative energy among the computed polymorphs (meV/atom) = 118
- formation enthalpy at 0 K (eV/f.u.) = 5.58
- SG = Pm-3m (221)
- total magnetic moment (μB/cell) = 0.00

Cell and atoms, written as Quantum ESPRESSO input:
```
&SYSTEM
  ibrav = 0, nat = 5, ntyp = 3
/
ATOMIC_SPECIES
Pb 207.20 Pb.upf
Hg 200.59 Hg.upf
Pt 195.08 Pt.upf
CELL_PARAMETERS angstrom
5.082 0.000 0.000
0.000 5.082 0.000
0.000 0.000 5.082
ATOMIC_POSITIONS angstrom
Pb 0.000 0.000 0.000
Hg 2.541 2.541 2.541
Pt 0.000 2.541 0.000
Pt 0.000 0.000 2.541
Pt 2.541 0.000 0.000
```

(5)
A relaxed HgPtPb2 crystal. Source: Alexandria via LeMat-Bulk, functional PBE. Values from VASP.

## Properties
- formation enthalpy at 0 K (eV/f.u.) = 0.71
- SG = I-42d (122)
- total magnetic moment (μB/cell) = 0.00

Cell and atoms, written as Quantum ESPRESSO input:
```
&SYSTEM
  ibrav = 0, nat = 8, ntyp = 3
/
ATOMIC_SPECIES
Pb 207.20 Pb.upf
Hg 200.59 Hg.upf
Pt 195.08 Pt.upf
CELL_PARAMETERS angstrom
-1.027 3.191 3.873
-4.999 -0.310 -1.070
-3.761 -5.469 6.896
ATOMIC_POSITIONS angstrom
Pb -2.167 0.463 3.859
Pb -4.233 -1.037 1.691
Pb -5.276 -3.033 6.181
Pb -7.897 -1.569 7.666
Hg 0.000 0.000 0.000
Hg -3.900 -0.419 6.085
Pt -3.013 1.441 1.401
Pt -5.886 -2.169 3.614
```

(6)
A relaxed HgPtPb2 crystal. Source: Alexandria via LeMat-Bulk, functional PBE. Values from VASP.

## Properties
- formation enthalpy at 0 K (eV/f.u.) = -0.45
- SG = P2/m (10)
- total magnetic moment (μB/cell) = 0.00

Cell and atoms, written as Quantum ESPRESSO input:
```
&SYSTEM
  ibrav = 0, nat = 4, ntyp = 3
/
ATOMIC_SPECIES
Pb 207.20 Pb.upf
Hg 200.59 Hg.upf
Pt 195.08 Pt.upf
CELL_PARAMETERS angstrom
3.401 0.000 0.000
0.000 3.484 0.129
0.000 3.241 8.940
ATOMIC_POSITIONS angstrom
Pb 0.000 3.481 0.605
Pb 0.000 3.366 4.058
Hg 1.701 5.044 6.802
Pt 1.701 1.681 2.267
```

(7)
A relaxed HgPtPb2 crystal. Source: Alexandria via LeMat-Bulk, functional PBE. Values from VASP.

## Properties
- formation enthalpy at 0 K (eV/f.u.) = 0.58
- SG = I-4m2 (119)
- total magnetic moment (μB/cell) = 0.00

Cell and atoms, written as Quantum ESPRESSO input:
```
&SYSTEM
  ibrav = 0, nat = 4, ntyp = 3
/
ATOMIC_SPECIES
Hg 200.59 Hg.upf
Pb 207.20 Pb.upf
Pt 195.08 Pt.upf
CELL_PARAMETERS angstrom
5.697 -0.062 0.000
2.132 5.284 0.000
-3.914 -2.611 3.213
ATOMIC_POSITIONS angstrom
Hg 2.849 -0.031 1.606
Pb 0.000 0.000 0.000
Pb 1.066 2.642 1.606
Pt 3.914 2.611 0.000
```

(8)
A relaxed HgPt8Pb3 crystal. Source: Alexandria via LeMat-Bulk, functional PBE. Values from VASP.

## Properties
- formation enthalpy at 0 K (eV/f.u.) = -1.61
- SG = R3m (160)
- total magnetic moment (μB/cell) = 0.00

Cell and atoms, written as Quantum ESPRESSO input:
```
&SYSTEM
  ibrav = 0, nat = 12, ntyp = 3
/
ATOMIC_SPECIES
Hg 200.59 Hg.upf
Pt 195.08 Pt.upf
Pb 207.20 Pb.upf
CELL_PARAMETERS angstrom
-0.500 -5.376 1.007
4.051 -2.708 2.535
-2.537 -0.869 9.075
ATOMIC_POSITIONS angstrom
Hg 2.098 -7.371 6.626
Pt 0.830 -6.397 3.742
Pt 1.838 -5.489 9.051
Pt 1.081 -3.697 3.236
Pt 1.587 -8.179 9.555
Pt -0.441 -1.898 4.627
Pt 0.070 -6.377 10.927
Pt 3.115 -5.057 4.509
Pt -0.439 -6.824 8.287
Pb -0.834 -3.819 9.155
Pb 3.437 -8.028 3.784
Pb 0.588 -4.517 6.137
```